Material: ErAg2S2
Method: DFT, PBE-GGA
State: optimized geometry

Cell: 3.8509 3.8509 8.4614 Å, 90.00 90.00 120.00°
Atoms (fractional coordinates):
Ag (0.3333, 0.6667, 0.3901)
Ag (0.6667, 0.3333, 0.6099)
Er (0.0000, 0.0000, 0.0000)
S (0.6667, 0.3333, 0.1813)
S (0.3333, 0.6667, 0.8187)

Properties
As for the total energy: -22.79 eV per cell.

Material: Er2Ag2Se3S
Method: DFT, PBE-GGA
State: optimized geometry

Cell: 6.6911 6.6911 4.2376 Å, 90.42 90.42 91.50°
Atoms (fractional coordinates):
Ag (0.5003, 0.0029, 0.0113)
Ag (0.0029, 0.5003, 0.0113)
Er (0.0065, 0.0065, 0.2047)
Er (0.4906, 0.4906, 0.7913)
S (0.2994, 0.2994, 0.2709)
Se (0.7005, 0.7005, 0.2851)
Se (0.7976, 0.2023, 0.7127)
Se (0.2023, 0.7976, 0.7127)

Properties
As for the total energy: -39.29 eV per cell.

Material: SrErAgSeS2
Method: DFT, PBE-GGA
State: optimized geometry

Cell: 7.1166 7.1166 10.5802 Å, 90.00 90.00 146.95°
Atoms (fractional coordinates):
Ag (0.4745, 0.5255, 0.2500)
Ag (0.5255, 0.4745, 0.7500)
Er (0.0000, 0.0000, 0.0000)
Er (0.0000, 0.0000, 0.5000)
S (0.3679, 0.6321, 0.0582)
S (0.3679, 0.6321, 0.4418)
S (0.6321, 0.3679, 0.5582)
S (0.6321, 0.3679, 0.9418)
Se (0.0972, 0.9028, 0.2500)
Se (0.9028, 0.0972, 0.7500)
Sr (0.7666, 0.2334, 0.2500)
Sr (0.2334, 0.7666, 0.7500)

Properties
As for the total energy: -60.11 eV per cell.

Material: SrErAgSe2S
Method: DFT, PBE-GGA
State: optimized geometry

Cell: 7.1460 7.1460 10.3799 Å, 90.00 90.00 146.21°
Atoms (fractional coordinates):
Ag (0.5272, 0.4728, 0.2500)
Ag (0.4728, 0.5272, 0.7500)
Er (0.0000, 0.0000, 0.0000)
Er (0.0000, 0.0000, 0.5000)
S (0.9184, 0.0816, 0.2500)
S (0.0816, 0.9184, 0.7500)
Se (0.6429, 0.3571, 0.0508)
Se (0.6429, 0.3571, 0.4492)
Se (0.3571, 0.6429, 0.5508)
Se (0.3571, 0.6429, 0.9492)
Sr (0.2581, 0.7419, 0.2500)
Sr (0.7419, 0.2581, 0.7500)

Properties
As for the total energy: -58.80 eV per cell.

Material: ErAgSnS3
Method: DFT, PBE-GGA
State: optimized geometry

Cell: 6.7932 6.7932 10.3284 Å, 90.00 90.00 34.14°
Atoms (fractional coordinates):
Ag (0.4585, 0.4585, 0.2500)
Ag (0.5415, 0.5415, 0.7500)
Er (0.0000, 0.0000, 0.0000)
Er (0.0000, 0.0000, 0.5000)
S (0.3592, 0.3592, 0.0466)
S (0.0886, 0.0886, 0.2500)
S (0.3592, 0.3592, 0.4534)
S (0.6408, 0.6408, 0.5466)
S (0.9114, 0.9114, 0.7500)
S (0.6408, 0.6408, 0.9534)
Sn (0.7432, 0.7432, 0.2500)
Sn (0.2568, 0.2568, 0.7500)

Properties
As for the total energy: -58.84 eV per cell.

Material: ErAgSnS3
Method: DFT, PBE-GGA
State: optimized geometry

Cell: 10.4629 4.0109 13.0309 Å, 90.00 90.00 90.00°
Atoms (fractional coordinates):
Ag (0.2344, 0.2500, 0.2132)
Ag (0.7344, 0.2500, 0.2868)
Ag (0.2656, 0.7500, 0.7132)
Ag (0.7656, 0.7500, 0.7868)
Er (0.4787, 0.7500, 0.2370)
Er (0.9787, 0.7500, 0.2630)
Er (0.0213, 0.2500, 0.7370)
Er (0.5213, 0.2500, 0.7630)
S (0.4299, 0.2500, 0.1084)
S (0.0293, 0.2500, 0.1143)
S (0.7368, 0.7500, 0.1598)
S (0.2368, 0.7500, 0.3402)
S (0.5293, 0.2500, 0.3857)
S (0.9299, 0.2500, 0.3916)
S (0.0701, 0.7500, 0.6084)
S (0.4707, 0.7500, 0.6143)
S (0.7632, 0.2500, 0.6598)
S (0.2632, 0.2500, 0.8402)
S (0.9707, 0.7500, 0.8857)
S (0.5701, 0.7500, 0.8916)
Sn (0.7966, 0.2500, 0.0127)
Sn (0.2966, 0.2500, 0.4873)
Sn (0.7034, 0.7500, 0.5127)
Sn (0.2034, 0.7500, 0.9873)

Properties
As for the total energy: -118.01 eV per cell.

Material: ErAgSnS3
Method: DFT, PBE-GGA
State: optimized geometry

Cell: 7.4308 3.9871 9.6669 Å, 90.00 105.49 90.00°
Atoms (fractional coordinates):
Ag (0.3909, 0.7500, 0.4088)
Ag (0.6091, 0.2500, 0.5912)
Er (0.2062, 0.2500, 0.1502)
Er (0.7938, 0.7500, 0.8498)
S (0.9365, 0.7500, 0.1371)
S (0.4515, 0.7500, 0.1667)
S (0.1930, 0.2500, 0.4488)
S (0.8070, 0.7500, 0.5512)
S (0.5485, 0.2500, 0.8333)
S (0.0635, 0.2500, 0.8629)
Sn (0.7973, 0.2500, 0.3068)
Sn (0.2027, 0.7500, 0.6932)

Properties
As for the total energy: -58.98 eV per cell.

Material: ErAgSnS3
Method: DFT, PBE-GGA
State: optimized geometry

Cell: 11.9158 3.9104 12.4294 Å, 90.00 90.00 90.00°
Atoms (fractional coordinates):
Ag (0.8015, 0.0000, 0.1112)
Ag (0.3015, 0.0000, 0.3888)
Ag (0.6985, 0.5000, 0.6112)
Ag (0.1985, 0.5000, 0.8888)
Er (0.4855, 0.5000, 0.1490)
Er (0.9855, 0.5000, 0.3510)
Er (0.0145, 0.0000, 0.6490)
Er (0.5145, 0.0000, 0.8510)
S (0.6056, 0.0000, 0.0514)
S (0.9862, 0.0000, 0.1962)
S (0.2561, 0.5000, 0.2003)
S (0.7561, 0.5000, 0.2997)
S (0.4862, 0.0000, 0.3038)
S (0.1056, 0.0000, 0.4486)
S (0.8944, 0.5000, 0.5514)
S (0.5138, 0.5000, 0.6962)
S (0.2439, 0.0000, 0.7003)
S (0.7439, 0.0000, 0.7997)
S (0.0138, 0.5000, 0.8038)
S (0.3944, 0.5000, 0.9486)
Sn (0.1696, 0.0000, 0.0823)
Sn (0.6696, 0.0000, 0.4177)
Sn (0.3304, 0.5000, 0.5823)
Sn (0.8304, 0.5000, 0.9177)

Properties
As for the total energy: -118.92 eV per cell.

Material: ErAgSnS3
Method: DFT, PBE-GGA
State: optimized geometry

Cell: 8.4519 3.9808 16.5925 Å, 90.00 90.00 90.00°
Atoms (fractional coordinates):
Ag (0.0954, 0.7500, 0.1086)
Ag (0.5954, 0.7500, 0.3914)
Ag (0.4046, 0.2500, 0.6086)
Ag (0.9046, 0.2500, 0.8914)
Er (0.6819, 0.7500, 0.0604)
Er (0.1819, 0.7500, 0.4396)
Er (0.8181, 0.2500, 0.5604)
Er (0.3181, 0.2500, 0.9396)
S (0.3636, 0.7500, 0.0486)
S (0.8984, 0.2500, 0.1053)
S (0.6237, 0.7500, 0.2217)
S (0.1237, 0.7500, 0.2783)
S (0.3984, 0.2500, 0.3947)
S (0.8636, 0.7500, 0.4514)
S (0.1364, 0.2500, 0.5486)
S (0.6016, 0.7500, 0.6053)
S (0.8763, 0.2500, 0.7217)
S (0.3763, 0.2500, 0.7783)
S (0.1016, 0.7500, 0.8947)
S (0.6364, 0.2500, 0.9514)
Sn (0.3339, 0.2500, 0.2387)
Sn (0.8339, 0.2500, 0.2613)
Sn (0.1661, 0.7500, 0.7387)
Sn (0.6661, 0.7500, 0.7613)

Properties
As for the total energy: -118.76 eV per cell.

Material: ErAgSnS3
Method: DFT, PBE-GGA
State: optimized geometry

Cell: 8.8304 8.8304 8.3313 Å, 103.81 103.81 25.45°
Atoms (fractional coordinates):
Ag (0.4732, 0.4732, 0.2839)
Ag (0.5267, 0.5267, 0.7161)
Er (0.8357, 0.8357, 0.4120)
Er (0.1643, 0.1643, 0.5880)
S (0.5000, 0.5000, 0.0000)
S (0.3163, 0.3163, 0.1791)
S (0.6727, 0.6727, 0.3588)
S (0.0000, 0.0000, 0.5000)
S (0.3273, 0.3273, 0.6412)
S (0.6837, 0.6837, 0.8209)
Sn (0.1331, 0.1331, 0.0767)
Sn (0.8669, 0.8669, 0.9233)

Properties
As for the total energy: -59.29 eV per cell.

Material: TbErAg2S4
Method: DFT, PBE-GGA
State: optimized geometry

Cell: 6.5355 6.5355 4.1122 Å, 90.00 90.00 90.10°
Atoms (fractional coordinates):
Ag (0.5000, 0.0000, 0.0000)
Ag (0.0000, 0.5000, 0.0000)
Er (0.5000, 0.5000, 0.2252)
S (0.2025, 0.2025, 0.2691)
S (0.7975, 0.7975, 0.2691)
S (0.6980, 0.3020, 0.7310)
S (0.3020, 0.6980, 0.7310)
Tb (0.0000, 0.0000, 0.7746)

Properties
As for the total energy: -42.01 eV per cell.

Material: Er2Ag2TeS3
Method: DFT, PBE-GGA
State: optimized geometry

Cell: 6.6843 6.6843 4.1894 Å, 91.39 91.39 85.83°
Atoms (fractional coordinates):
Ag (0.9987, 0.4982, 0.0373)
Ag (0.4982, 0.9987, 0.0373)
Er (0.5208, 0.5208, 0.2074)
Er (0.9835, 0.9835, 0.7758)
S (0.8024, 0.1991, 0.2638)
S (0.1991, 0.8024, 0.2638)
S (0.7027, 0.7027, 0.7338)
Te (0.2946, 0.2946, 0.6809)

Properties
As for the total energy: -39.89 eV per cell.

Copy entry 2 word for word.
Material: Er2Ag2Se3S
Method: DFT, PBE-GGA
State: optimized geometry

Cell: 6.6911 6.6911 4.2376 Å, 90.42 90.42 91.50°
Atoms (fractional coordinates):
Ag (0.5003, 0.0029, 0.0113)
Ag (0.0029, 0.5003, 0.0113)
Er (0.0065, 0.0065, 0.2047)
Er (0.4906, 0.4906, 0.7913)
S (0.2994, 0.2994, 0.2709)
Se (0.7005, 0.7005, 0.2851)
Se (0.7976, 0.2023, 0.7127)
Se (0.2023, 0.7976, 0.7127)

Properties
As for the total energy: -39.29 eV per cell.